Record 1
Compound: Pm3Er2Tm5
Source: Alexandria via LeMat-Bulk
Functional: GGA-PBE
Structure: relaxed

## Properties
Distance to the lowest polymorph of the same formula   0 meV/atom
Formation energy from the elements   0.197 eV/atom

abc: 10.579 15.819 9.350
angles: 90.00 124.30 90.00
Space group C2/c (No. 15)
Symmetry-distinct sites (fractional):
Pm1 0.000 0.235 0.250 x4
Pm2 0.145 0.123 0.045 x8
Er1 0.151 0.383 0.548 x8
Tm1 0.000 0.027 0.250 x4
Tm2 0.000 0.272 0.750 x4
Tm3 0.000 0.471 0.750 x4
Tm4 0.242 0.389 0.235 x8

=====

Record 2
Compound: PmEr4Tm4
Source: Alexandria via LeMat-Bulk
Functional: GGA-PBE
Structure: relaxed

## Properties
Formation energy from the elements   0.090 eV/atom

abc: 6.203 17.010 10.725
angles: 90.00 99.44 90.00
Space group C2/m (No. 12)
Symmetry-distinct sites (fractional):
Pm1 0.224 0.000 0.282 x4
Er1 0.006 0.187 0.667 x8
Er2 0.226 0.000 0.613 x4
Er3 0.227 0.000 0.947 x4
Tm1 0.000 0.186 0.000 x4
Tm2 0.000 0.357 0.500 x4
Tm3 0.001 0.358 0.835 x8

=====

Record 3
Compound: PmEr6Tm4
Source: Alexandria via LeMat-Bulk
Functional: GGA-PBE
Structure: relaxed

## Properties
Distance to the lowest polymorph of the same formula   0 meV/atom
Formation energy from the elements   0.124 eV/atom

abc: 5.577 9.620 25.441
angles: 90.00 90.00 90.00
Space group Cmcm (No. 63)
Symmetry-distinct sites (fractional):
Pm1 0.000 0.170 0.250 x4
Er1 0.000 0.163 0.680 x8
Er2 0.000 0.170 0.101 x8
Er3 0.000 0.496 0.750 x4
Er4 0.000 0.500 0.000 x4
Tm1 0.000 0.165 0.542 x8
Tm2 0.000 0.496 0.621 x8

=====

Record 4
Compound: Pm11Er4Tm9
Source: Alexandria via LeMat-Bulk
Functional: GGA-PBE
Structure: relaxed

## Properties
Formation energy from the elements   0.054 eV/atom

abc: 16.803 25.482 3.629
angles: 90.00 90.00 90.00
Space group Cmmm (No. 65)
Symmetry-distinct sites (fractional):
Pm1 0.000 0.000 0.000 x2
Pm2 0.000 0.160 0.000 x4
Pm3 0.000 0.368 0.000 x4
Pm4 0.207 0.500 0.000 x4
Pm5 0.224 0.181 0.000 x8
Er1 0.157 0.398 0.500 x8
Tm1 0.000 0.500 0.500 x2
Tm2 0.102 0.268 0.500 x8
Tm3 0.141 0.073 0.500 x8

=====

Record 5
Compound: PmEr4Tm10
Source: Alexandria via LeMat-Bulk
Functional: GGA-PBE
Structure: relaxed

## Properties
Formation energy from the elements   0.736 eV/atom

abc: 12.004 12.004 7.592
angles: 90.00 90.00 90.00
Space group I4/m (No. 87)
Symmetry-distinct sites (fractional):
Pm1 0.000 0.000 0.000 x2
Er1 0.100 0.699 0.500 x8
Tm1 0.000 0.500 0.250 x4
Tm2 0.101 0.201 0.253 x16

=====

Record 6
Compound: Pm7ErTm3
Source: Alexandria via LeMat-Bulk
Functional: GGA-PBE
Structure: relaxed

## Properties
Distance to the lowest polymorph of the same formula   2 meV/atom
Formation energy from the elements   0.186 eV/atom

abc: 7.1411 7.1411 8.6272
angles: 90.00 90.00 120.00
Space group P3m1 (No. 156)
Symmetry-distinct sites (fractional):
Pm1 0.0000 0.0000 0.0000 x1
Pm2 0.1658 0.3316 0.3334 x3
Pm3 0.5009 0.0018 0.9862 x3
Er1 0.6667 0.3333 0.3214 x1
Tm1 0.3348 0.1674 0.6580 x3

=====

Record 7
Compound: Pm6Er3Tm2
Source: Alexandria via LeMat-Bulk
Functional: GGA-PBE
Structure: relaxed

## Properties
Distance to the lowest polymorph of the same formula   0 meV/atom
Formation energy from the elements   0.017 eV/atom

abc: 3.5852 3.5852 95.8555
angles: 90.00 90.00 120.00
Space group R-3m (No. 166, hexagonal axes)
Symmetry-distinct sites (fractional):
Pm1 0.0000 0.0000 0.0907 x6
Pm2 0.0000 0.0000 0.1824 x6
Pm3 0.0000 0.0000 0.3636 x6
Er1 0.0000 0.0000 0.0000 x3
Er2 0.0000 0.0000 0.2729 x6
Tm1 0.0000 0.0000 0.4541 x6

=====

Record 8
Compound: PmEr2Tm
Source: Alexandria via LeMat-Bulk
Functional: GGA-PBE
Structure: relaxed

## Properties
Distance to the lowest polymorph of the same formula   15 meV/atom
Formation energy from the elements   0.024 eV/atom

abc: 3.5404 3.5404 34.5355
angles: 90.00 90.00 120.00
Space group R-3m (No. 166, hexagonal axes)
Symmetry-distinct sites (fractional):
Pm1 0.0000 0.0000 0.0000 x3
Er1 0.0000 0.0000 0.2485 x6
Tm1 0.0000 0.0000 0.5000 x3

=====

no.,volume (A^3/atom),calculated total energy (eV per atom)
1,32.3,-4.38
2,31.0,-4.45
3,31.0,-4.42
4,32.4,-4.56
5,36.5,-3.78
6,34.6,-4.47
7,32.3,-4.63
8,31.2,-4.56